1.
First-principles (PBE) data for a geometry-optimized ZrGa6Fe6 structure, as listed in Alexandria.

abc: 4.984 8.423 8.568
angles: 90.00 90.00 90.00
Space group Immm (No. 71)
Asymmetric unit:
Zr: 0.000 0.000 0.000 (multiplicity 2)
Ga: 0.000 0.000 0.341 (multiplicity 4)
Ga: 0.000 0.331 0.000 (multiplicity 4)
Ga: 0.000 0.500 0.323 (multiplicity 4)
Fe: 0.000 0.257 0.500 (multiplicity 4)
Fe: 0.250 0.250 0.250 (multiplicity 8)

Calculated values
magnetization = 21.9 μB per cell
raw total energy = -6.262 eV/atom

---

2.
First-principles (PBE) data for a geometry-optimized ZrGaFe structure, as listed in Alexandria.

abc: 3.220 3.220 9.281
angles: 90.00 90.00 90.00
Space group I4mm (No. 107)
Asymmetric unit:
Zr: 0.000 0.000 0.000 (multiplicity 2)
Ga: 0.000 0.000 0.697 (multiplicity 2)
Fe: 0.000 0.000 0.329 (multiplicity 2)

Calculated values
magnetization = 2.2 μB per cell
raw total energy = -6.914 eV/atom

---

3.
First-principles (PBE) data for a geometry-optimized ZrGa3Fe structure, as listed in Alexandria.

abc: 5.054 5.054 5.054
angles: 90.00 90.00 90.00
Space group Pm-3m (No. 221)
Asymmetric unit:
Zr: 0.000 0.000 0.000 (multiplicity 1)
Ga: 0.000 0.000 0.500 (multiplicity 3)
Fe: 0.500 0.500 0.500 (multiplicity 1)

Calculated values
magnetization = 0.1 μB per cell
distance to the lowest polymorph of the same formula = 7.90 eV per formula unit
raw total energy = -3.825 eV/atom

---

4.
First-principles (PBE) data for a geometry-optimized ZrGaFe structure, as listed in Alexandria.

abc: 2.919 14.198 5.040
angles: 90.00 90.00 90.00
Space group Cmcm (No. 63)
Asymmetric unit:
Zr: 0.000 0.152 0.250 (multiplicity 4)
Ga: 0.000 0.350 0.250 (multiplicity 4)
Fe: 0.000 0.500 0.000 (multiplicity 4)

Calculated values
magnetization = 8.2 μB per cell
raw total energy = -6.751 eV/atom

---

5.
First-principles (PBE) data for a geometry-optimized Zr4GaFe2 structure, as listed in Alexandria.

abc: 5.044 5.044 12.322
angles: 90.00 90.00 90.00
Space group I4/mmm (No. 139)
Asymmetric unit:
Zr: 0.000 0.000 0.212 (multiplicity 4)
Zr: 0.000 0.500 0.000 (multiplicity 4)
Ga: 0.000 0.000 0.000 (multiplicity 2)
Fe: 0.000 0.000 0.407 (multiplicity 4)

Calculated values
magnetization = 6.3 μB per cell
raw total energy = -7.182 eV/atom

---

6.
First-principles (PBE) data for a geometry-optimized ZrGaFe2 structure, as listed in Alexandria.

abc: 4.161 4.161 3.230
angles: 90.00 90.00 90.00
Space group P4/mmm (No. 123)
Asymmetric unit:
Zr: 0.000 0.000 0.000 (multiplicity 1)
Ga: 0.500 0.500 0.000 (multiplicity 1)
Fe: 0.000 0.500 0.500 (multiplicity 2)

Calculated values
magnetization = 0.9 μB per cell
raw total energy = -7.300 eV/atom

---

7.
First-principles (PBE) data for a geometry-optimized Zr2GaFe structure, as listed in Alexandria.

abc: 7.273 7.273 5.651
angles: 90.00 90.00 90.00
Space group I-42d (No. 122)
Asymmetric unit:
Zr: 0.205 0.750 0.125 (multiplicity 8)
Ga: 0.000 0.000 0.500 (multiplicity 4)
Fe: 0.000 0.000 0.000 (multiplicity 4)

Calculated values
magnetization = 0.4 μB per cell
raw total energy = -7.039 eV/atom

---

8.
First-principles (PBE) data for a geometry-optimized Zr2GaFe structure, as listed in Alexandria.

abc: 3.283 3.283 6.603
angles: 90.00 90.00 90.00
Space group P4/mmm (No. 123)
Asymmetric unit:
Zr: 0.000 0.000 0.233 (multiplicity 2)
Ga: 0.500 0.500 0.500 (multiplicity 1)
Fe: 0.500 0.500 0.000 (multiplicity 1)

Calculated values
magnetization = 1.0 μB per cell
raw total energy = -7.477 eV/atom

---

9.
First-principles (PBE) data for a geometry-optimized Zr2Ga3Fe structure, as listed in Alexandria.

abc: 9.921 4.124 6.581
angles: 90.00 130.69 90.00
Space group Cm (No. 8)
Asymmetric unit:
Zr: 0.000 0.000 0.000 (multiplicity 2)
Zr: 0.117 0.000 0.620 (multiplicity 2)
Ga: 0.205 0.500 0.985 (multiplicity 2)
Ga: 0.228 0.500 0.431 (multiplicity 2)
Ga: 0.389 0.000 0.239 (multiplicity 2)
Fe: 0.388 0.000 0.634 (multiplicity 2)

Calculated values
magnetization = 0.0 μB per cell
raw total energy = -6.213 eV/atom

---

10.
First-principles (PBE) data for a geometry-optimized Zr6Ga3Fe structure, as listed in Alexandria.

abc: 5.497 7.764 10.914
angles: 90.00 118.68 90.00
Space group P2_1/c (No. 14)
Asymmetric unit:
Zr: 0.048 0.165 0.441 (multiplicity 4)
Zr: 0.341 0.686 0.437 (multiplicity 4)
Zr: 0.408 0.043 0.264 (multiplicity 4)
Ga: 0.000 0.000 0.000 (multiplicity 2)
Ga: 0.144 0.117 0.756 (multiplicity 4)
Fe: 0.500 0.000 0.500 (multiplicity 2)

Calculated values
magnetization = 0.0 μB per cell
raw total energy = -7.158 eV/atom

---

11.
First-principles (PBE) data for a geometry-optimized ZrGa3Fe structure, as listed in Alexandria.

abc: 4.047 6.392 6.479
angles: 90.00 90.00 90.00
Space group Pmmn (No. 59, origin choice 2)
Asymmetric unit:
Zr: 0.250 0.250 0.243 (multiplicity 2)
Ga: 0.250 0.050 0.824 (multiplicity 4)
Ga: 0.250 0.750 0.430 (multiplicity 2)
Fe: 0.250 0.750 0.059 (multiplicity 2)

Calculated values
magnetization = 0.0 μB per cell
distance to the lowest polymorph of the same formula = 0.00 eV per formula unit
raw total energy = -5.405 eV/atom

---

12.
First-principles (PBE) data for a geometry-optimized Zr12GaFe6 structure, as listed in Alexandria.

abc: 8.988 8.988 8.988
angles: 90.00 90.00 90.00
Space group Im-3 (No. 204)
Asymmetric unit:
Zr: 0.000 0.293 0.194 (multiplicity 24)
Ga: 0.000 0.000 0.000 (multiplicity 2)
Fe: 0.000 0.123 0.500 (multiplicity 12)

Calculated values
magnetization = 8.0 μB per cell
raw total energy = -8.342 eV/atom